{
  "formula": "Zn3FeSb",
  "functional": "PBE-GGA",
  "state": "relaxed",
  "polymorph_energy_mev_per_atom": 0,
  "raw_formation_energy_ev_per_atom": 0.525,
  "final_energy_ev_per_atom": -2.76,
  "dos_at_fermi_per_ev_atom": 0.583,
  "lattice_angstrom": [[4.6628, 0.0000, 0.0000], [0.0000, 4.6628, 0.0000], [0.0000, 0.0000, 4.6628]],
  "species": ["Zn", "Zn", "Zn", "Fe", "Sb"],
  "frac_coords": [[0.0000, 0.0000, 0.5000], [0.0000, 0.5000, 0.0000], [0.5000, 0.0000, 0.0000], [0.0000, 0.0000, 0.0000], [0.5000, 0.5000, 0.5000]]
}

{
  "formula": "ZnFeSb2",
  "functional": "PBE-GGA",
  "state": "relaxed",
  "raw_formation_energy_ev_per_atom": 0.167,
  "final_energy_ev_per_atom": -4.33,
  "dos_at_fermi_per_ev_atom": 0.601,
  "lattice_angstrom": [[1.7678, 1.0206, 7.5514], [-1.7678, 1.0206, 7.5514], [0.0000, -2.0413, 7.5514]],
  "species": ["Zn", "Fe", "Sb", "Sb"],
  "frac_coords": [[0.0000, 0.0000, 0.0000], [0.5000, 0.5000, 0.5000], [0.2407, 0.2407, 0.2407], [0.7593, 0.7593, 0.7593]]
}

{
  "formula": "ZnFeSb2",
  "functional": "PBE-GGA",
  "state": "relaxed",
  "raw_formation_energy_ev_per_atom": 0.217,
  "final_energy_ev_per_atom": -4.28,
  "dos_at_fermi_per_ev_atom": 0.633,
  "lattice_angstrom": [[3.1589, 0.0000, 0.0000], [0.0000, 3.1589, 0.0000], [0.0000, 0.0000, 8.0577]],
  "species": ["Zn", "Fe", "Sb", "Sb"],
  "frac_coords": [[0.0000, 0.0000, 0.0000], [0.0000, 0.0000, 0.5000], [0.5000, 0.5000, 0.3022], [0.5000, 0.5000, 0.6978]]
}

{
  "formula": "ZnFeSb2",
  "functional": "PBE-GGA",
  "state": "relaxed",
  "raw_formation_energy_ev_per_atom": 0.241,
  "final_energy_ev_per_atom": -4.25,
  "dos_at_fermi_per_ev_atom": 0.817,
  "lattice_angstrom": [[-1.5939, 1.9678, 6.5750], [1.5939, -1.9678, 6.5750], [1.5939, 1.9678, -6.5750]],
  "species": ["Zn", "Fe", "Sb", "Sb"],
  "frac_coords": [[0.0000, 0.0000, 0.0000], [0.2250, 0.7250, 0.5000], [0.3821, 0.3821, 0.0000], [0.6604, 0.1604, 0.5000]]
}

{
  "formula": "ZnFeSb2",
  "functional": "PBE-GGA",
  "state": "relaxed",
  "raw_formation_energy_ev_per_atom": 0.194,
  "final_energy_ev_per_atom": -4.30,
  "dos_at_fermi_per_ev_atom": 0.838,
  "lattice_angstrom": [[3.2445, 0.0000, 0.0000], [0.0000, 3.2445, 0.0000], [0.0000, 0.0000, 7.8016]],
  "species": ["Zn", "Fe", "Sb", "Sb"],
  "frac_coords": [[0.0000, 0.0000, 0.0000], [0.5000, 0.5000, 0.1581], [0.0000, 0.0000, 0.3532], [0.5000, 0.5000, 0.7647]]
}

{
  "formula": "ZnFeSb2",
  "functional": "PBE-GGA",
  "state": "relaxed",
  "raw_formation_energy_ev_per_atom": 0.182,
  "final_energy_ev_per_atom": -4.31,
  "dos_at_fermi_per_ev_atom": 0.831,
  "lattice_angstrom": [[3.8228, 0.0000, 0.0000], [0.0000, 4.0798, 0.0000], [-1.9021, 0.0000, 5.0468]],
  "species": ["Zn", "Fe", "Sb", "Sb"],
  "frac_coords": [[0.0000, 0.0000, 0.0000], [0.1550, 0.5000, 0.3120], [0.4416, 0.5000, 0.8835], [0.7256, 0.0000, 0.4548]]
}